1.
# PBE-GGA Mg2NbV2, relaxed
data_Mg2NbV2
_space_group_name_H-M_alt 'P 4/m b m'
_space_group_IT_number 127
_space_group_name_Hall '-P 4 2ab'
_cell_length_a 7.736
_cell_length_b 7.736
_cell_length_c 2.870
_cell_angle_alpha 90.00
_cell_angle_beta 90.00
_cell_angle_gamma 90.00
loop_
_atom_site_label
_atom_site_fract_x
_atom_site_fract_y
_atom_site_fract_z
_atom_site_occupancy
Mg1 0.191 0.309 0.000 1
Nb1 0.000 0.000 0.500 1
V1 0.102 0.602 0.500 1
# Size of the total moment in μB per formula unit: 0.0
# Formation energy from the elements in eV/atom: 0.552
# Distance to the lowest polymorph of the same formula in meV per atom: 0
# Energy in eV/f.u.: -28.7

=====

2.
# PBE-GGA LaNbNF2, relaxed
data_LaNbNF2
_space_group_name_H-M_alt 'P 4/m m m'
_space_group_IT_number 123
_space_group_name_Hall '-P 4 2'
_cell_length_a 4.276
_cell_length_b 4.276
_cell_length_c 4.174
_cell_angle_alpha 90.00
_cell_angle_beta 90.00
_cell_angle_gamma 90.00
loop_
_atom_site_label
_atom_site_fract_x
_atom_site_fract_y
_atom_site_fract_z
_atom_site_occupancy
La1 0.000 0.000 0.000 1
Nb1 0.500 0.500 0.500 1
N1 0.500 0.500 0.000 1
F1 0.000 0.500 0.500 1
# Size of the total moment in μB per formula unit: 1.2
# Uncorrected formation energy in eV per atom: -1.6497
# Distance to the lowest polymorph of the same formula in meV per atom: 0
# Energy in eV/f.u.: -35.3

=====

3.
# PBE-GGA TaSiSb2, relaxed
data_TaSiSb2
_space_group_name_H-M_alt 'R -3 m'
_space_group_IT_number 166
_space_group_name_Hall '-R 3 2"'
_cell_length_a 3.1955
_cell_length_b 3.1955
_cell_length_c 29.4235
_cell_angle_alpha 90.00
_cell_angle_beta 90.00
_cell_angle_gamma 120.00
loop_
_atom_site_label
_atom_site_fract_x
_atom_site_fract_y
_atom_site_fract_z
_atom_site_occupancy
Ta1 0.0000 0.0000 0.0000 1
Si1 0.0000 0.0000 0.5000 1
Sb1 0.0000 0.0000 0.2549 1
# Size of the total moment in μB per formula unit: 0.0
# Uncorrected formation energy in eV per atom: 0.4102
# Energy in eV/f.u.: -23.9

=====

4.
# PBE-GGA Nd9ThTl2, relaxed
data_Nd9ThTl2
_space_group_name_H-M_alt 'P 4/m m m'
_space_group_IT_number 123
_space_group_name_Hall '-P 4 2'
_cell_length_a 5.033
_cell_length_b 5.033
_cell_length_c 15.248
_cell_angle_alpha 90.00
_cell_angle_beta 90.00
_cell_angle_gamma 90.00
loop_
_atom_site_label
_atom_site_fract_x
_atom_site_fract_y
_atom_site_fract_z
_atom_site_occupancy
Nd1 0.000 0.000 0.000 1
Nd2 0.000 0.000 0.338 1
Nd3 0.000 0.500 0.169 1
Nd4 0.000 0.500 0.500 1
Th1 0.500 0.500 0.000 1
Tl1 0.500 0.500 0.337 1
# Size of the total moment in μB per formula unit: 0.0
# Formation energy from the elements in eV/atom: -0.113
# Energy in eV/f.u.: -56.4

=====

5.
# PBE-GGA YHf2Tl, relaxed
data_YHf2Tl
_space_group_name_H-M_alt 'R -3 m'
_space_group_IT_number 166
_space_group_name_Hall '-R 3 2"'
_cell_length_a 3.1762
_cell_length_b 3.1762
_cell_length_c 34.7922
_cell_angle_alpha 90.00
_cell_angle_beta 90.00
_cell_angle_gamma 120.00
loop_
_atom_site_label
_atom_site_fract_x
_atom_site_fract_y
_atom_site_fract_z
_atom_site_occupancy
Y1 0.0000 0.0000 0.0000 1
Hf1 0.0000 0.0000 0.0917 1
Tl1 0.0000 0.0000 0.5000 1
# Size of the total moment in μB per formula unit: 0.0
# Formation energy from the elements in eV/atom: 0.408
# Distance to the lowest polymorph of the same formula in meV per atom: 109
# Energy in eV/f.u.: -27.1

=====

6.
# PBE-GGA AlCr2Co, relaxed
data_AlCr2Co
_space_group_name_H-M_alt 'P 4 m m'
_space_group_IT_number 99
_cell_length_a 2.917
_cell_length_b 2.917
_cell_length_c 5.672
_cell_angle_alpha 90.00
_cell_angle_beta 90.00
_cell_angle_gamma 90.00
loop_
_space_group_symop_operation_xyz
'x,y,z'
'-y,x,z'
'-x,-y,z'
'y,-x,z'
'-x,y,z'
'y,x,z'
'x,-y,z'
'-y,-x,z'
loop_
_atom_site_label
_atom_site_fract_x
_atom_site_fract_y
_atom_site_fract_z
_atom_site_occupancy
Al1 0.000 0.000 0.000 1
Cr1 0.000 0.000 0.504 1
Cr2 0.500 0.500 0.714 1
Co1 0.500 0.500 0.235 1
# Size of the total moment in μB per formula unit: 0.1
# Formation energy from the elements in eV/atom: -0.114
# Energy in eV/f.u.: -30.6